## YTa2Tc (PBE-GGA)

Data for a relaxed structure of YTa2Tc.

**Final energy**: -9.700 eV per atom
**Total magnetic moment**: 0.000 μB per atom
**V**: 77 Å³/cell
**Symmetry**: Cmmm, No. 65
**Density of states at the Fermi level**: 1.05 states/eV/atom

Cell: 5.646 5.646 2.844 Å, 90.00 90.00 121.57°
Positions (direct):
Y1 0.000 0.000 0.000
Ta1 0.000 0.500 0.500
Ta2 0.500 0.000 0.500
Tc1 0.500 0.500 0.000